GaBOs2Pb, optimized geometry, DFT PBE-GGA; space group = P4/mmm, No. 123; N(E_F) = 1.194 states/eV per atom; DFT formation energy = 3.208 eV/atom; total DFT energy (no corrections) = -3.966 eV/atom; theoretical density = 8.1 Mg/m³
1.0
5.0712 0.0000 0.0000
0.0000 5.3238 0.0000
0.0000 0.0000 5.0712
Os Pb Ga B
2 1 1 1
Direct
0.0000 0.0000 0.5000 Os
0.5000 0.0000 0.0000 Os
0.0000 0.0000 0.0000 Pb
0.0000 0.5000 0.0000 Ga
0.5000 0.5000 0.5000 B